Record 1
# PBE Nd3SbSe2, optimized geometry
data_Nd3SbSe2
_cell_length_a 4.3399
_cell_length_b 4.3399
_cell_length_c 10.5451
_cell_angle_alpha 90.00
_cell_angle_beta 90.00
_cell_angle_gamma 120.00
_space_group_name_H-M_alt 'P -3 m 1'
_space_group_IT_number 164
_space_group_name_Hall '-P 3 2"'
loop_
_atom_site_label
_atom_site_fract_x
_atom_site_fract_y
_atom_site_fract_z
Nd1 0.0000 0.0000 0.0000
Nd2 0.3333 0.6667 0.3204
Sb1 0.0000 0.0000 0.5000
Se1 0.3333 0.6667 0.8405
# E_tot ... -35.13 eV per formula unit
# Crystal system ... trigonal

Record 2
# PBE Nd2SbSe, optimized geometry
data_Nd2SbSe
_cell_length_a 4.3881
_cell_length_b 4.3881
_cell_length_c 6.2025
_cell_angle_alpha 90.00
_cell_angle_beta 90.00
_cell_angle_gamma 90.00
_space_group_name_H-M_alt 'P 4/m m m'
_space_group_IT_number 123
_space_group_name_Hall '-P 4 2'
loop_
_atom_site_label
_atom_site_fract_x
_atom_site_fract_y
_atom_site_fract_z
Nd1 0.0000 0.0000 0.0000
Nd2 0.5000 0.5000 0.5000
Sb1 0.0000 0.0000 0.5000
Se1 0.5000 0.5000 0.0000
# E_tot ... -23.18 eV per formula unit
# Crystal system ... tetragonal

Record 3
# PBE Nd3Sb2Se, optimized geometry
data_Nd3Sb2Se
_cell_length_a 4.4341
_cell_length_b 6.2795
_cell_length_c 13.2623
_cell_angle_alpha 90.00
_cell_angle_beta 90.00
_cell_angle_gamma 90.00
_space_group_name_H-M_alt 'I m m m'
_space_group_IT_number 71
_space_group_name_Hall '-I 2 2'
loop_
_atom_site_label
_atom_site_fract_x
_atom_site_fract_y
_atom_site_fract_z
Nd1 0.0000 0.0000 0.0000
Nd2 0.0000 0.0000 0.3386
Sb1 0.0000 0.5000 0.3312
Se1 0.0000 0.5000 0.0000
# E_tot ... -34.55 eV per formula unit
# Crystal system ... orthorhombic

Record 4
# PBE NdSmSb, optimized geometry
data_NdSmSb
_cell_length_a 7.3679
_cell_length_b 7.3679
_cell_length_c 7.3679
_cell_angle_alpha 90.00
_cell_angle_beta 90.00
_cell_angle_gamma 90.00
_space_group_name_H-M_alt 'F -4 3 m'
_space_group_IT_number 216
_space_group_name_Hall 'F -4 2 3'
loop_
_atom_site_label
_atom_site_fract_x
_atom_site_fract_y
_atom_site_fract_z
Nd1 0.0000 0.0000 0.0000
Sm1 0.0000 0.0000 0.5000
Sb1 0.2500 0.2500 0.7500
# E_tot ... -15.52 eV per formula unit
# Crystal system ... cubic

Record 5
# PBE NdSm2Sb3, optimized geometry
data_NdSm2Sb3
_cell_length_a 4.4818
_cell_length_b 4.4818
_cell_length_c 11.0034
_cell_angle_alpha 90.00
_cell_angle_beta 90.00
_cell_angle_gamma 120.00
_space_group_name_H-M_alt 'P -3 m 1'
_space_group_IT_number 164
_space_group_name_Hall '-P 3 2"'
loop_
_atom_site_label
_atom_site_fract_x
_atom_site_fract_y
_atom_site_fract_z
Nd1 0.0000 0.0000 0.0000
Sm1 0.3333 0.6667 0.3345
Sb1 0.0000 0.0000 0.5000
Sb2 0.3333 0.6667 0.8307
# E_tot ... -33.66 eV per formula unit
# Crystal system ... trigonal

Record 6
# PBE Nd3Sm2Sb3, optimized geometry
data_Nd3Sm2Sb3
_cell_length_a 9.2726
_cell_length_b 9.2726
_cell_length_c 6.4881
_cell_angle_alpha 90.00
_cell_angle_beta 90.00
_cell_angle_gamma 120.00
_space_group_name_H-M_alt 'P 63/m c m'
_space_group_IT_number 193
_space_group_name_Hall '-P 6c 2'
loop_
_atom_site_label
_atom_site_fract_x
_atom_site_fract_y
_atom_site_fract_z
Nd1 0.0000 0.2493 0.2500
Sm1 0.3333 0.6667 0.0000
Sb1 0.0000 0.3890 0.7500
# E_tot ... -43.88 eV per formula unit
# Crystal system ... hexagonal

Record 7
# PBE Nd4SmSb5, optimized geometry
data_Nd4SmSb5
_cell_length_a 4.5074
_cell_length_b 4.5074
_cell_length_c 31.9061
_cell_angle_alpha 90.00
_cell_angle_beta 90.00
_cell_angle_gamma 90.00
_space_group_name_H-M_alt 'I 4/m m m'
_space_group_IT_number 139
_space_group_name_Hall '-I 4 2'
loop_
_atom_site_label
_atom_site_fract_x
_atom_site_fract_y
_atom_site_fract_z
Nd1 0.0000 0.0000 0.0998
Nd2 0.0000 0.0000 0.3003
Sm1 0.0000 0.0000 0.5000
Sb1 0.0000 0.0000 0.0000
Sb2 0.0000 0.0000 0.2000
Sb3 0.0000 0.0000 0.4007
# E_tot ... -56.26 eV per formula unit
# Crystal system ... tetragonal

Record 8
# PBE NdSnSb, optimized geometry
data_NdSnSb
_cell_length_a 7.4298
_cell_length_b 7.4298
_cell_length_c 7.4298
_cell_angle_alpha 90.00
_cell_angle_beta 90.00
_cell_angle_gamma 90.00
_space_group_name_H-M_alt 'F -4 3 m'
_space_group_IT_number 216
_space_group_name_Hall 'F -4 2 3'
loop_
_atom_site_label
_atom_site_fract_x
_atom_site_fract_y
_atom_site_fract_z
Nd1 0.0000 0.0000 0.0000
Sn1 0.2500 0.2500 0.2500
Sb1 0.2500 0.2500 0.7500
# Energy above the lowest structure with this stoichiometry ... 0.20 eV per formula unit
# Crystal system ... cubic